# PmTl2FeO6 PBE with a Hubbard U optimized geometry
data_PmTl2FeO6
_symmetry_space_group_name_H-M 'R 3'
_symmetry_Int_Tables_number 146
_symmetry_space_group_name_Hall 'R 3'
_cell_length_a 5.6517
_cell_length_b 5.6517
_cell_length_c 14.8811
_cell_angle_alpha 90.00
_cell_angle_beta 90.00
_cell_angle_gamma 120.00
loop_
_atom_site_label
_atom_site_type_symbol
_atom_site_fract_x
_atom_site_fract_y
_atom_site_fract_z
Pm1 Pm 0.0000 0.0000 0.0000
Tl1 Tl 0.0000 0.0000 0.2653
Tl2 Tl 0.0000 0.0000 0.7802
Fe1 Fe 0.0000 0.0000 0.4870
O1 O 0.0128 0.3865 0.2250
O2 O 0.0669 0.6804 0.0715
# total magnetization = 1.01 μB/f.u.
# crystal system = trigonal
# energy = -173.998 eV/cell